No. 1
YH8Pd6 after structural relaxation. Source: Alexandria, functional PBE.

abc: 5.3091 5.3091 5.3091
angles: 99.08 99.08 99.08
With the nearest neighbours (Å) after each atom.
Fractional coordinates of all 15 atoms:
1 Y 0.0000 0.0000 0.0000  8 H 2.37-2.53
2 H 0.1900 0.6261 0.7974  3 Pd 1.82-1.90
3 H 0.2026 0.8100 0.3739  3 Pd 1.82-1.90
4 H 0.3113 0.3113 0.3113  3 Pd 1.85
5 H 0.3739 0.2026 0.8100  3 Pd 1.82-1.90
6 H 0.6261 0.7974 0.1900  3 Pd 1.82-1.90
7 H 0.6887 0.6887 0.6887  3 Pd 1.85
8 H 0.7974 0.1900 0.6261  3 Pd 1.82-1.90
9 H 0.8100 0.3739 0.2026  3 Pd 1.82-1.90
10 Pd 0.1272 0.2934 0.5792  4 H 1.82-1.90
11 Pd 0.2934 0.5792 0.1272  4 H 1.82-1.90
12 Pd 0.4208 0.8728 0.7066  4 H 1.82-1.90
13 Pd 0.5792 0.1272 0.2934  4 H 1.82-1.90
14 Pd 0.7066 0.4208 0.8728  4 H 1.82-1.90
15 Pd 0.8728 0.7066 0.4208  4 H 1.82-1.90

Results
* Fermi-level density of states: 4.783 states/eV/cell
* energy: -0.3343 Ry per atom
* space-group type: R-3 (148)

=====

No. 2
YH4Pd5 after structural relaxation. Source: Alexandria, functional PBE.

abc: 5.7905 8.4016 4.7673
angles: 90.00 90.00 90.00
With the nearest neighbours (Å) after each atom.
Fractional coordinates of all 20 atoms:
1 Y 0.2500 0.2500 0.2270  2 H 2.34
2 Y 0.7500 0.7500 0.7730  2 H 2.34
3 H 0.0596 0.7500 0.4560  3 Pd 1.78-1.86
4 H 0.2500 0.5305 0.9116  3 Pd 1.89-1.96
5 H 0.2500 0.9695 0.9116  3 Pd 1.89-1.96
6 H 0.4404 0.7500 0.4560  3 Pd 1.78-1.86
7 H 0.5596 0.2500 0.5440  3 Pd 1.78-1.86
8 H 0.7500 0.0305 0.0884  3 Pd 1.89-1.96
9 H 0.7500 0.4695 0.0884  3 Pd 1.89-1.96
10 H 0.9404 0.2500 0.5440  3 Pd 1.78-1.86
11 Pd 0.0024 0.5799 0.2463  2 H 1.78-1.89
12 Pd 0.0024 0.9201 0.2463  2 H 1.78-1.89
13 Pd 0.2500 0.7500 0.7694  4 H 1.86-1.96
14 Pd 0.4976 0.5799 0.2463  2 H 1.78-1.89
15 Pd 0.4976 0.9201 0.2463  2 H 1.78-1.89
16 Pd 0.5024 0.0799 0.7537  2 H 1.78-1.89
17 Pd 0.5024 0.4201 0.7537  2 H 1.78-1.89
18 Pd 0.7500 0.2500 0.2306  4 H 1.86-1.96
19 Pd 0.9976 0.0799 0.7537  2 H 1.78-1.89
20 Pd 0.9976 0.4201 0.7537  2 H 1.78-1.89

Results
* Fermi-level density of states: 2.988 states/eV/cell
* energy: -0.3637 Ry per atom
* space-group type: Pmmn (59)

=====

No. 3
Y2HPd after structural relaxation. Source: Alexandria, functional PBE.

abc: 6.8481 6.8481 6.8481
angles: 90.00 90.00 90.00
With the nearest neighbours (Å) after each atom.
Fractional coordinates of all 16 atoms:
1 Y 0.2500 0.2500 0.2500  4 H 2.97, 4 Pd 2.97
2 Y 0.2500 0.2500 0.7500  4 H 2.97, 4 Pd 2.97
3 Y 0.2500 0.7500 0.2500  4 H 2.97, 4 Pd 2.97
4 Y 0.2500 0.7500 0.7500  4 H 2.97, 4 Pd 2.97
5 Y 0.7500 0.2500 0.2500  4 H 2.97, 4 Pd 2.97
6 Y 0.7500 0.2500 0.7500  4 H 2.97, 4 Pd 2.97
7 Y 0.7500 0.7500 0.2500  4 H 2.97, 4 Pd 2.97
8 Y 0.7500 0.7500 0.7500  4 H 2.97, 4 Pd 2.97
9 H 0.0000 0.0000 0.0000  8 Y 2.97
10 H 0.0000 0.5000 0.5000  8 Y 2.97
11 H 0.5000 0.0000 0.5000  8 Y 2.97
12 H 0.5000 0.5000 0.0000  8 Y 2.97
13 Pd 0.0000 0.0000 0.5000  8 Y 2.97
14 Pd 0.0000 0.5000 0.0000  8 Y 2.97
15 Pd 0.5000 0.0000 0.0000  8 Y 2.97
16 Pd 0.5000 0.5000 0.5000  8 Y 2.97

Results
* Fermi-level density of states: 15.173 states/eV/cell
* energy above the lowest structure with this stoichiometry: 216 meV/atom
* space-group type: Fm-3m (225)

=====

No. 4
YHPd3 after structural relaxation. Source: Alexandria, functional PBE.

abc: 5.3569 5.3569 5.3569
angles: 88.20 88.20 88.20
With the nearest neighbours (Å) after each atom.
Fractional coordinates of all 10 atoms:
1 Y 0.0000 0.0000 0.0000  2 H 2.39
2 Y 0.5000 0.5000 0.5000  2 H 2.39
3 H 0.2500 0.2500 0.2500  3 Pd 1.84
4 H 0.7500 0.7500 0.7500  3 Pd 1.84
5 Pd 0.0027 0.2500 0.4973  1 H 1.84
6 Pd 0.2500 0.4973 0.0027  1 H 1.84
7 Pd 0.4973 0.0027 0.2500  1 H 1.84
8 Pd 0.5027 0.9973 0.7500  1 H 1.84
9 Pd 0.7500 0.5027 0.9973  1 H 1.84
10 Pd 0.9973 0.7500 0.5027  1 H 1.84

Results
* Fermi-level density of states: 3.568 states/eV/cell
* energy above the lowest structure with this stoichiometry: 180 meV/atom
* space-group type: R-3c (167)

=====

No. 5
YHPd3 after structural relaxation. Source: Alexandria, functional PBE.

abc: 10.2907 10.2907 10.2907
angles: 152.77 152.77 38.89
With the nearest neighbours (Å) after each atom.
Fractional coordinates of all 10 atoms:
1 Y 0.0000 0.0000 0.0000  4 Pd 2.69
2 Y 0.7500 0.2500 0.5000  4 Pd 2.73
3 H 0.1224 0.6224 0.5000  6 Pd 2.42-2.70
4 H 0.3776 0.8776 0.5000  6 Pd 2.42-2.70
5 Pd 0.3709 0.1244 0.2465  2 Pd 2.39-2.46
6 Pd 0.3719 0.3719 0.0000  2 H 2.42
7 Pd 0.6281 0.6281 0.0000  2 H 2.42
8 Pd 0.8756 0.1220 0.2465  2 Pd 2.39-2.46
9 Pd 0.8756 0.6291 0.7535  2 Pd 2.39-2.46
10 Pd 0.8780 0.1244 0.7535  2 Pd 2.39-2.46

Results
* Fermi-level density of states: 4.572 states/eV/cell
* energy above the lowest structure with this stoichiometry: 1056 meV/atom
* space-group type: I-4m2 (119)

=====

No. 6
Y2HPd after structural relaxation. Source: Alexandria, functional PBE.

abc: 6.6201 6.6201 7.3649
angles: 90.00 90.00 90.00
With the nearest neighbours (Å) after each atom.
Fractional coordinates of all 16 atoms:
1 Y 0.1815 0.2500 0.1250  2 H 2.24
2 Y 0.2500 0.6815 0.3750  2 H 2.24
3 Y 0.2500 0.8185 0.8750  2 H 2.24
4 Y 0.3185 0.2500 0.6250  2 H 2.24
5 Y 0.6815 0.7500 0.6250  2 H 2.24
6 Y 0.7500 0.1815 0.8750  2 H 2.24
7 Y 0.7500 0.3185 0.3750  2 H 2.24
8 Y 0.8185 0.7500 0.1250  2 H 2.24
9 H 0.0000 0.0000 0.0000  4 Y 2.24
10 H 0.0000 0.5000 0.2500  4 Y 2.24
11 H 0.5000 0.0000 0.7500  4 Y 2.24
12 H 0.5000 0.5000 0.5000  4 Y 2.24
13 Pd 0.0000 0.0000 0.5000  4 Y 2.83
14 Pd 0.0000 0.5000 0.7500  4 Y 2.83
15 Pd 0.5000 0.0000 0.2500  4 Y 2.83
16 Pd 0.5000 0.5000 0.0000  4 Y 2.83

Results
* Fermi-level density of states: 12.320 states/eV/cell
* energy above the lowest structure with this stoichiometry: 0 meV/atom
* space-group type: I-42d (122)

=====

No. 7
YHPd3 after structural relaxation. Source: Alexandria, functional PBE.

abc: 4.7317 4.7317 8.1364
angles: 90.00 90.00 120.00
With the nearest neighbours (Å) after each atom.
Fractional coordinates of all 10 atoms:
1 Y 0.3333 0.6667 0.2500  5 Pd 2.71-2.73
2 Y 0.6667 0.3333 0.7500  5 Pd 2.71-2.73
3 H 0.0000 0.0000 0.0000  2 Pd 2.03
4 H 0.0000 0.0000 0.5000  2 Pd 2.03
5 Pd 0.0000 0.0000 0.2500  2 H 2.03
6 Pd 0.0000 0.0000 0.7500  2 H 2.03
7 Pd 0.3333 0.6667 0.5831  1 Y 2.71, 1 Pd 2.72, 3 H 2.81
8 Pd 0.3333 0.6667 0.9169  1 Y 2.71, 1 Pd 2.72, 3 H 2.81
9 Pd 0.6667 0.3333 0.0831  1 Y 2.71, 1 Pd 2.72, 3 H 2.81
10 Pd 0.6667 0.3333 0.4169  1 Y 2.71, 1 Pd 2.72, 3 H 2.81

Results
* Fermi-level density of states: 2.372 states/eV/cell
* energy above the lowest structure with this stoichiometry: 462 meV/atom
* space-group type: P6_3/mmc (194)

=====

No. 8
YHPd3 after structural relaxation. Source: Alexandria, functional PBE.

abc: 3.0621 5.4448 12.8539
angles: 90.00 90.00 90.00
With the nearest neighbours (Å) after each atom.
Fractional coordinates of all 10 atoms:
1 Y 0.0000 0.0000 0.0000  4 Pd 2.65-2.69
2 Y 0.0000 0.5000 0.5000  4 Pd 2.65-2.69
3 H 0.5000 0.0000 0.6593  5 Pd 2.05-2.16
4 H 0.5000 0.5000 0.1593  5 Pd 2.05-2.16
5 Pd 0.0000 0.2474 0.6758  2 H 2.05
6 Pd 0.0000 0.2526 0.1758  2 H 2.05
7 Pd 0.0000 0.7474 0.1758  2 H 2.05
8 Pd 0.0000 0.7526 0.6758  2 H 2.05
9 Pd 0.5000 0.0000 0.8275  1 H 2.16
10 Pd 0.5000 0.5000 0.3275  1 H 2.16

Results
* Fermi-level density of states: 3.896 states/eV/cell
* energy above the lowest structure with this stoichiometry: 858 meV/atom
* space-group type: Amm2 (38)

=====

Magnetization across the listed records, respectively: 0.00 0.00 0.00 0.00 0.00 0.00 0.00 0.00 μB per cell.